Entry 1:
! K2MnP PBEsol optimized geometry; values from VASP
! Crystal system = tetragonal
! Total DFT energy (no corrections) = -15.6 eV per formula unit
! ΔH_f (0 K) = 2.18 eV/f.u.
! Density = 2.98 g/cm³
! Total magnetization = 4.0 μB per cell
&SYSTEM
  ibrav = 0, nat = 4, ntyp = 3
/
ATOMIC_SPECIES
K 39.10 K.upf
Mn 54.94 Mn.upf
P 30.97 P.upf
CELL_PARAMETERS angstrom
-2.954 -0.274 2.989
1.775 -3.541 1.431
3.550 4.676 0.970
ATOMIC_POSITIONS crystal
K 0.250 0.750 0.500
K 0.750 0.250 0.500
Mn 0.000 0.000 0.000
P 0.500 0.500 0.000

=====

Entry 2:
! K2MnP PBEsol optimized geometry; values from VASP
! Crystal system = tetragonal
! Total DFT energy (no corrections) = -15.7 eV per formula unit
! ΔH_f (0 K) = 2.13 eV/f.u.
! Density = 2.97 g/cm³
! Total magnetization = 4.1 μB per cell
&SYSTEM
  ibrav = 0, nat = 4, ntyp = 3
/
ATOMIC_SPECIES
K 39.10 K.upf
Mn 54.94 Mn.upf
P 30.97 P.upf
CELL_PARAMETERS angstrom
-0.690 -4.151 -0.254
4.158 -0.692 0.011
-0.064 -0.304 5.153
ATOMIC_POSITIONS crystal
K 0.000 0.500 0.000
K 0.500 0.000 0.000
Mn 0.500 0.500 0.500
P 0.000 0.000 0.500

=====

Entry 3:
! KMnP PBEsol optimized geometry; values from VASP
! Crystal system = tetragonal
! Total DFT energy (no corrections) = -17.9 eV per formula unit
! ΔH_f (0 K) = -1.24 eV/f.u.
! Density = 2.85 g/cm³
! Total magnetization = 3.2 μB per cell
&SYSTEM
  ibrav = 0, nat = 6, ntyp = 3
/
ATOMIC_SPECIES
P 30.97 P.upf
K 39.10 K.upf
Mn 54.94 Mn.upf
CELL_PARAMETERS angstrom
3.736 0.000 0.000
0.000 3.736 0.000
0.000 0.000 10.444
ATOMIC_POSITIONS crystal
P 0.000 0.500 0.879
P 0.500 0.000 0.121
K 0.000 0.500 0.295
K 0.500 0.000 0.705
Mn 0.500 0.500 0.000
Mn 0.000 0.000 0.000

=====

Q: The lowest ΔH_f (0 K) belongs to which entry?
A: KMnP